(1)
First-principles (PBE) data for a relaxed TcAs2Se crystal, as listed in the Alexandria database.

a b c (Å): 5.9475 5.9475 11.1148
angles (deg): 90.00 90.00 90.00
Space group I-42d (No. 122)
Asymmetric unit:
Tc (0.0000, 0.0000, 0.0000)
As (0.2033, 0.2500, 0.1250)
Se (0.0000, 0.0000, 0.5000)

Properties
**Magnetization**: 0.000 μB per cell
**Volume**: 24.57 Å³/atom
**Energy relative to the lowest polymorph listed for this composition**: 1.40 eV/f.u.

(2)
First-principles (PBE) data for a relaxed RbNaInBi crystal, as listed in the Alexandria database.

a b c (Å): 8.2056 8.2056 8.2056
angles (deg): 90.00 90.00 90.00
Space group F-43m (No. 216)
Asymmetric unit:
Rb (0.0000, 0.0000, 0.0000)
Na (0.2500, 0.2500, 0.2500)
In (0.2500, 0.2500, 0.7500)
Bi (0.0000, 0.0000, 0.5000)

Properties
**Magnetization**: 0.000 μB per cell
**Volume**: 34.53 Å³/atom
**Formation enthalpy at 0 K**: -0.18 eV/atom
**Energy relative to the lowest polymorph listed for this composition**: 0.21 eV/f.u.

(3)
First-principles (PBE) data for a relaxed AlFeBr2 crystal, as listed in the Alexandria database.

a b c (Å): 3.5967 3.3872 7.8717
angles (deg): 90.00 103.11 90.00
Space group Pm (No. 6)
Asymmetric unit:
Al (0.0000, 0.0000, 0.0000)
Fe (0.5268, 0.5000, 0.0538)
Br (0.3723, 0.5000, 0.7448)
Br (0.6460, 0.0000, 0.2941)

Properties
**Magnetization**: 1.781 μB per cell
**Volume**: 23.35 Å³/atom
**Energy relative to the lowest polymorph listed for this composition**: 0.41 eV/f.u.

(4)
First-principles (PBE) data for a relaxed Sr4SnPbO8 crystal, as listed in the Alexandria database.

a b c (Å): 4.2101 4.2101 12.7131
angles (deg): 90.00 90.00 90.00
Space group P4/mmm (No. 123)
Asymmetric unit:
Sr (0.0000, 0.0000, 0.1417)
Sr (0.5000, 0.5000, 0.3508)
Sn (0.5000, 0.5000, 0.0000)
Pb (0.0000, 0.0000, 0.5000)
O (0.0000, 0.0000, 0.3281)
O (0.0000, 0.5000, 0.0000)
O (0.0000, 0.5000, 0.5000)
O (0.5000, 0.5000, 0.1624)

Properties
**Electronic total energy**: -6.028 eV/atom
**Magnetization**: 0.000 μB per cell
**Volume**: 16.10 Å³/atom